Entry 1:
Density functional theory data (GGA-PBE) for a geometry-optimized BaCa7Al5 structure.

Geometry as CIF:
```
data_BaCa7Al5
_chemical_formula_sum 'Ba2 Ca14 Al10'
_cell_length_a 6.508
_cell_length_b 10.836
_cell_length_c 11.138
_cell_angle_alpha 90.00
_cell_angle_beta 90.00
_cell_angle_gamma 90.00
_symmetry_space_group_name_H-M 'I m m 2'
_symmetry_Int_Tables_number 44
loop_
_symmetry_equiv_pos_as_xyz
'x,y,z'
'-x,-y,z'
'-x,y,z'
'x,-y,z'
'x+1/2,y+1/2,z+1/2'
'-x+1/2,-y+1/2,z+1/2'
'-x+1/2,y+1/2,z+1/2'
'x+1/2,-y+1/2,z+1/2'
loop_
_atom_site_label
_atom_site_fract_x
_atom_site_fract_y
_atom_site_fract_z
Ba1 0.000 0.000 0.000
Ca1 0.000 0.000 0.315
Ca2 0.000 0.000 0.649
Ca3 0.000 0.299 0.467
Ca4 0.000 0.336 0.934
Ca5 0.000 0.500 0.219
Al1 0.000 0.500 0.679
Al2 0.229 0.239 0.202
```

Properties
* ΔE_f: -0.09 eV/atom
* total DFT energy (no corrections): -2.759 eV/atom

***

Entry 2:
Density functional theory data (GGA-PBE) for a geometry-optimized BaCa2Al2 structure.

Geometry as CIF:
```
data_BaCa2Al2
_chemical_formula_sum 'Ba2 Ca4 Al4'
_cell_length_a 5.599
_cell_length_b 5.599
_cell_length_c 11.874
_cell_angle_alpha 90.00
_cell_angle_beta 90.00
_cell_angle_gamma 90.00
_symmetry_space_group_name_H-M 'I 4/m m m'
_symmetry_Int_Tables_number 139
_symmetry_space_group_name_Hall '-I 4 2'
loop_
_atom_site_label
_atom_site_fract_x
_atom_site_fract_y
_atom_site_fract_z
Ba1 0.000 0.000 0.000
Ca1 0.000 0.000 0.348
Al1 0.000 0.500 0.250
```

Properties
* ΔE_f: 0.11 eV/atom
* total DFT energy (no corrections): -2.569 eV/atom

***

Entry 3:
Density functional theory data (GGA-PBE) for a geometry-optimized Ba4CaAl structure.

Geometry as CIF:
```
data_Ba4CaAl
_chemical_formula_sum 'Ba16 Ca4 Al4'
_cell_length_a 10.597
_cell_length_b 10.597
_cell_length_c 10.597
_cell_angle_alpha 90.00
_cell_angle_beta 90.00
_cell_angle_gamma 90.00
_symmetry_space_group_name_H-M 'F -4 3 m'
_symmetry_Int_Tables_number 216
_symmetry_space_group_name_Hall 'F -4 2 3'
loop_
_atom_site_label
_atom_site_fract_x
_atom_site_fract_y
_atom_site_fract_z
Ba1 0.124 0.124 0.376
Ca1 0.000 0.000 0.000
Al1 0.250 0.250 0.750
```

Properties
* ΔE_f: 0.43 eV/atom
* total DFT energy (no corrections): -1.810 eV/atom

***

Entry 4:
Density functional theory data (GGA-PBE) for a geometry-optimized BaCa2Al9 structure.

Geometry as CIF:
```
data_BaCa2Al9
_chemical_formula_sum 'Ba3 Ca6 Al27'
_cell_length_a 5.8022
_cell_length_b 5.8022
_cell_length_c 26.7433
_cell_angle_alpha 90.00
_cell_angle_beta 90.00
_cell_angle_gamma 120.00
_symmetry_space_group_name_H-M 'R -3 m'
_symmetry_Int_Tables_number 166
_symmetry_space_group_name_Hall '-R 3 2"'
loop_
_atom_site_label
_atom_site_fract_x
_atom_site_fract_y
_atom_site_fract_z
Ba1 0.0000 0.0000 0.0000
Ca1 0.0000 0.0000 0.1420
Al1 0.0000 0.0000 0.3359
Al2 0.0000 0.0000 0.5000
Al3 0.0083 0.5042 0.9162
```

Properties
* ΔE_f: -0.23 eV/atom
* total DFT energy (no corrections): -3.528 eV/atom

***

Entry 5:
Density functional theory data (GGA-PBE) for a geometry-optimized BaCaAl4 structure.

Geometry as CIF:
```
data_BaCaAl4
_chemical_formula_sum 'Ba2 Ca2 Al8'
_cell_length_a 4.501
_cell_length_b 7.870
_cell_length_c 9.663
_cell_angle_alpha 90.00
_cell_angle_beta 90.00
_cell_angle_gamma 90.00
_symmetry_space_group_name_H-M 'I m m m'
_symmetry_Int_Tables_number 71
_symmetry_space_group_name_Hall '-I 2 2'
loop_
_atom_site_label
_atom_site_fract_x
_atom_site_fract_y
_atom_site_fract_z
Ba1 0.000 0.000 0.000
Ca1 0.000 0.000 0.500
Al1 0.000 0.334 0.245
```

Properties
* ΔE_f: -0.16 eV/atom
* total DFT energy (no corrections): -3.313 eV/atom

***

Entry 6:
Density functional theory data (GGA-PBE) for a geometry-optimized BaCa4Al structure.

Geometry as CIF:
```
data_BaCa4Al
_chemical_formula_sum 'Ba4 Ca16 Al4'
_cell_length_a 9.998
_cell_length_b 9.998
_cell_length_c 9.998
_cell_angle_alpha 90.00
_cell_angle_beta 90.00
_cell_angle_gamma 90.00
_symmetry_space_group_name_H-M 'F -4 3 m'
_symmetry_Int_Tables_number 216
_symmetry_space_group_name_Hall 'F -4 2 3'
loop_
_atom_site_label
_atom_site_fract_x
_atom_site_fract_y
_atom_site_fract_z
Ba1 0.000 0.000 0.000
Ca1 0.124 0.124 0.624
Al1 0.250 0.250 0.250
```

Properties
* ΔE_f: 0.28 eV/atom
* total DFT energy (no corrections): -1.999 eV/atom